No. 1
First-principles (PBE) data for a geometry-optimized ZnCrTc2 structure, as listed in Alexandria.

```
ZnCrTc2
1.0
-1.828 1.828 9.264
1.828 -1.828 9.264
1.828 1.828 -9.264
Zn Cr Tc
2 2 4
Cartesian
0.000 0.000 0.000
0.000 1.828 4.632
1.828 0.000 4.632
0.000 0.000 9.264
2.742 0.835 -2.316
0.835 0.914 2.316
-0.914 0.994 6.948
0.994 0.914 11.579
```

Properties
As for the density: 8.403 g/cm³. Its density of states at the Fermi level is 6.670 states/eV per cell. Its formation energy is 0.65 eV per atom.


No. 2
First-principles (PBE) data for a geometry-optimized ZnCrTc structure, as listed in Alexandria.

```
ZnCrTc
1.0
2.695 0.000 0.000
0.000 4.000 0.000
-0.259 0.000 7.555
Zn Cr Tc
2 2 2
Cartesian
0.271 1.000 3.137
2.165 3.000 4.418
0.068 3.000 6.952
2.368 1.000 0.603
1.004 1.000 5.871
1.432 3.000 1.684
```

Properties
As for the density: 8.783 g/cm³. Its density of states at the Fermi level is 2.982 states/eV per cell. Its formation energy is 0.07 eV per atom.


No. 3
First-principles (PBE) data for a geometry-optimized Zn3CrTc structure, as listed in Alexandria.

```
Zn3CrTc
1.0
4.527 0.000 0.000
0.000 4.527 0.000
0.000 0.000 4.527
Zn Cr Tc
3 1 1
Cartesian
0.000 0.000 2.263
0.000 2.263 0.000
2.263 0.000 0.000
0.000 0.000 0.000
2.263 2.263 2.263
```

Properties
As for the density: 6.199 g/cm³. Its density of states at the Fermi level is 1.872 states/eV per cell. Its formation energy is 1.40 eV per atom.


No. 4
First-principles (PBE) data for a geometry-optimized ZnCrTc2 structure, as listed in Alexandria.

```
ZnCrTc2
1.0
2.688 0.000 0.000
0.000 3.833 0.000
0.000 0.000 5.326
Zn Cr Tc
1 1 2
Cartesian
0.000 0.000 0.000
0.000 0.000 2.663
1.344 1.917 1.386
1.344 1.917 3.939
```

Properties
As for the density: 9.482 g/cm³. Its density of states at the Fermi level is 3.304 states/eV per cell. Its formation energy is 0.16 eV per atom.


No. 5
First-principles (PBE) data for a geometry-optimized ZnCrTc2 structure, as listed in Alexandria.

```
ZnCrTc2
1.0
1.497 -2.153 0.000
1.497 2.153 0.000
0.000 0.000 8.675
Zn Cr Tc
1 1 2
Cartesian
0.000 0.000 0.000
1.497 0.000 6.524
0.000 0.000 4.521
1.497 0.000 2.267
```

Properties
As for the density: 9.306 g/cm³. Its density of states at the Fermi level is 3.965 states/eV per cell. Its formation energy is 0.21 eV per atom.


No. 6
First-principles (PBE) data for a geometry-optimized ZnCrTc2 structure, as listed in Alexandria.

```
ZnCrTc2
1.0
1.358 0.784 8.697
-1.358 0.784 8.697
0.000 -1.568 8.697
Zn Cr Tc
1 1 2
Cartesian
0.000 0.000 0.000
0.000 0.000 13.045
0.000 0.000 6.403
0.000 0.000 19.687
```

Properties
As for the density: 9.363 g/cm³. Its density of states at the Fermi level is 2.763 states/eV per cell. Its formation energy is 0.12 eV per atom.


No. 7
First-principles (PBE) data for a geometry-optimized ZnCrTc2 structure, as listed in Alexandria.

```
ZnCrTc2
1.0
0.000 3.044 3.044
3.044 0.000 3.044
3.044 3.044 0.000
Zn Cr Tc
1 1 2
Cartesian
0.000 0.000 0.000
4.566 4.566 4.566
1.522 1.522 1.522
3.044 3.044 3.044
```

Properties
As for the density: 9.225 g/cm³. Its density of states at the Fermi level is 2.793 states/eV per cell. Its formation energy is 0.18 eV per atom.


No. 8
First-principles (PBE) data for a geometry-optimized ZnCrTc structure, as listed in Alexandria.

```
ZnCrTc
1.0
-1.304 1.972 3.900
1.304 -1.972 3.900
1.304 1.972 -3.900
Zn Cr Tc
1 1 1
Cartesian
0.000 0.000 0.000
0.000 0.000 5.183
0.000 0.000 2.601
```

Properties
As for the density: 8.922 g/cm³. Its density of states at the Fermi level is 2.590 states/eV per cell. Its formation energy is 0.16 eV per atom.


No. 9
First-principles (PBE) data for a geometry-optimized ZnCr3Tc structure, as listed in Alexandria.

```
ZnCr3Tc
1.0
4.501 0.000 0.000
0.000 4.501 0.000
0.000 0.000 4.501
Zn Cr Tc
1 3 1
Cartesian
0.000 0.000 0.000
0.000 0.000 2.251
0.000 2.251 0.000
2.251 0.000 0.000
2.251 2.251 2.251
```

Properties
As for the density: 5.815 g/cm³. Its density of states at the Fermi level is 6.289 states/eV per cell. Its formation energy is 1.62 eV per atom.


No. 10
First-principles (PBE) data for a geometry-optimized ZnCrTc2 structure, as listed in Alexandria.

```
ZnCrTc2
1.0
2.864 0.000 0.000
0.000 2.864 0.000
0.000 0.000 6.723
Zn Cr Tc
1 1 2
Cartesian
0.000 0.000 0.000
0.000 0.000 3.362
1.432 1.432 1.820
1.432 1.432 4.903
```

Properties
As for the density: 9.440 g/cm³. Its density of states at the Fermi level is 3.972 states/eV per cell. Its formation energy is 0.12 eV per atom.


No. 11
First-principles (PBE) data for a geometry-optimized ZnCrTc structure, as listed in Alexandria.

```
ZnCrTc
1.0
4.235 0.000 0.000
-2.117 3.667 0.000
0.000 0.000 2.586
Zn Cr Tc
1 1 1
Cartesian
0.000 0.000 0.000
2.117 1.222 0.907
0.000 2.445 1.519
```

Properties
As for the density: 8.908 g/cm³. Its density of states at the Fermi level is 2.350 states/eV per cell. Its formation energy is 0.09 eV per atom.


No. 12
First-principles (PBE) data for a geometry-optimized ZnCrTc2 structure, as listed in Alexandria.

```
ZnCrTc2
1.0
3.174 0.000 0.000
0.000 4.186 0.000
0.000 0.000 4.229
Zn Cr Tc
1 1 2
Cartesian
0.000 0.000 0.000
1.587 0.000 2.115
0.000 2.093 2.115
1.587 2.093 0.000
```

Properties
As for the density: 9.261 g/cm³. Its density of states at the Fermi level is 3.599 states/eV per cell. Its formation energy is 0.22 eV per atom.